[1]
Compound: Ho6CdFe
Source: the Alexandria database
Functional: GGA-PBE
Structure: optimized geometry

Results
Spin magnetization   0.0 μB/f.u.
E_tot   -72.33 eV per cell
Mass density   8.22 g/cm3

The structure in POSCAR format:
```
Ho6CdFe
1.0
7.824 0.000 0.000
0.000 10.102 0.000
-1.620 0.000 5.918
Ho Cd Fe
12 2 2
Cartesian
0.470 1.842 1.679
0.470 8.259 1.679
1.534 5.051 0.807
0.759 0.000 5.111
1.823 3.208 4.239
1.823 6.893 4.239
4.382 3.208 1.679
4.382 6.893 1.679
5.446 0.000 0.807
4.671 5.051 5.111
5.735 1.842 4.239
5.735 8.259 4.239
-0.810 5.051 2.959
3.102 0.000 2.959
0.000 0.000 0.000
3.912 5.051 0.000
```

***

[2]
Compound: Ho8Cd2Fe
Source: the Alexandria database
Functional: GGA-PBE
Structure: optimized geometry

Results
Spin magnetization   0.0 μB/f.u.
E_tot   -47.86 eV per cell
Mass density   8.98 g/cm3

The structure in POSCAR format:
```
Ho8Cd2Fe
1.0
8.594 -2.693 0.000
8.594 2.693 0.000
-2.459 0.000 6.392
Ho Cd Fe
8 2 1
Cartesian
-0.394 0.000 1.819
1.479 0.000 4.936
4.708 0.000 3.594
6.747 0.000 0.603
7.982 0.000 5.788
10.021 0.000 2.797
13.249 0.000 1.455
15.123 0.000 4.572
2.646 0.000 1.281
12.083 0.000 5.111
7.364 0.000 3.196
```